# Mo2AsCO (PBE with a Hubbard U, optimized geometry)
data_Mo2AsCO
_space_group_name_H-M_alt 'P 4/m m m'
_space_group_IT_number 123
_space_group_name_Hall '-P 4 2'
_cell_length_a 4.447
_cell_length_b 4.447
_cell_length_c 3.514
_cell_angle_alpha 90.00
_cell_angle_beta 90.00
_cell_angle_gamma 90.00
loop_
_atom_site_label
_atom_site_type_symbol
_atom_site_fract_x
_atom_site_fract_y
_atom_site_fract_z
_atom_site_occupancy
Mo1 Mo 0.000 0.500 0.000 1
As1 As 0.000 0.000 0.500 1
C1 C 0.500 0.500 0.000 1
O1 O 0.500 0.500 0.500 1
# - Total moment: 0.945 μB/atom
# - Final energy: -28.7 eV/f.u.
# - DOS at the Fermi energy: 0.257 states/eV/atom